{
  "formula": "La2Tb12Nd5",
  "functional": "PBE",
  "state": "relaxed",
  "cell": [[-7.0994, -0.2185, 6.1365], [-2.2506, -7.0782, -10.0347], [5.7162, -0.6971, 6.5883]],
  "species": ["Tb", "Tb", "Tb", "Tb", "Tb", "Tb", "Tb", "Tb", "Tb", "Tb", "Tb", "Tb", "Nd", "Nd", "Nd", "Nd", "Nd", "La", "La"],
  "fractional_positions": [[0.9241, 0.8481, 0.7236], [0.6730, 0.7018, 0.9438], [0.0759, 0.1519, 0.2764], [0.5584, 0.1169, 0.7791], [0.8195, 0.2588, 0.5940], [0.1805, 0.7412, 0.4060], [0.9712, 0.2982, 0.0562], [0.4393, 0.2588, 0.5940], [0.0288, 0.7018, 0.9438], [0.4416, 0.8831, 0.2209], [0.5607, 0.7412, 0.4060], [0.3270, 0.2982, 0.0562], [0.2308, 0.4616, 0.8895], [0.7692, 0.5384, 0.1105], [0.0000, 0.0000, 0.5000], [0.7078, 0.4155, 0.3938], [0.2922, 0.5845, 0.6062], [0.3254, 0.0000, 0.0000], [0.6746, 0.0000, 0.0000]],
  "ef_ev_per_fu": 2.50,
  "e_above_lowest_polymorph_mev_per_atom": 37
}



{
  "formula": "Ag2Mo",
  "functional": "PBE",
  "state": "relaxed",
  "cell": [[-0.9374, -2.2991, -0.9326], [3.4449, -0.2643, -2.8109], [10.0069, -9.4137, 13.1492]],
  "species": ["Ag", "Ag", "Ag", "Ag", "Ag", "Ag", "Ag", "Ag", "Mo", "Mo", "Mo", "Mo"],
  "fractional_positions": [[0.0000, 0.2500, 0.1845], [0.0000, 0.7500, 0.9614], [0.5000, 0.2500, 0.3155], [0.5000, 0.7500, 0.6845], [0.5000, 0.7500, 0.5386], [0.5000, 0.2500, 0.4614], [0.0000, 0.7500, 0.8155], [0.0000, 0.2500, 0.0386], [0.5000, 0.2500, 0.8911], [0.5000, 0.7500, 0.1089], [0.0000, 0.2500, 0.6089], [0.0000, 0.7500, 0.3911]],
  "ef_ev_per_fu": 2.43,
  "e_above_lowest_polymorph_mev_per_atom": 420
}